[1]
{"formula": "Pm3BiIr", "functional": "GGA-PBE", "state": "optimized geometry", "delta_e_f_mev_per_atom": -724, "relative_energy_ev_per_atom": 0.000, "cell": [[8.133, 0.000, 0.000], [0.000, 4.410, 0.000], [0.000, 0.000, 16.792]], "species": ["Pm", "Pm", "Pm", "Pm", "Pm", "Pm", "Pm", "Pm", "Pm", "Pm", "Pm", "Pm", "Bi", "Bi", "Bi", "Bi", "Ir", "Ir", "Ir", "Ir"], "fractional_positions": [[0.014, 0.250, 0.092], [0.140, 0.750, 0.451], [0.169, 0.250, 0.703], [0.331, 0.750, 0.203], [0.360, 0.250, 0.951], [0.486, 0.750, 0.592], [0.514, 0.250, 0.408], [0.640, 0.750, 0.049], [0.669, 0.250, 0.797], [0.831, 0.750, 0.297], [0.860, 0.250, 0.549], [0.986, 0.750, 0.908], [0.131, 0.250, 0.299], [0.369, 0.750, 0.799], [0.631, 0.250, 0.201], [0.869, 0.750, 0.701], [0.232, 0.750, 0.042], [0.268, 0.250, 0.542], [0.732, 0.750, 0.458], [0.768, 0.250, 0.958]]}

---

[2]
{"formula": "PrU2S6", "functional": "GGA-PBE", "state": "optimized geometry", "e_form_raw_ev_per_atom": -1.43, "cell": [[6.762, -2.575, 0.000], [6.762, 2.575, 0.000], [-5.341, 0.000, 7.256]], "species": ["Pr", "U", "U", "S", "S", "S", "S", "S", "S"], "fractional_positions": [[0.000, 0.000, 0.000], [0.181, 0.181, 0.604], [0.819, 0.819, 0.396], [0.037, 0.037, 0.714], [0.261, 0.261, 0.385], [0.364, 0.364, 0.935], [0.636, 0.636, 0.065], [0.739, 0.739, 0.615], [0.963, 0.963, 0.286]]}

---

[3]
{"formula": "SrTb2PaAs4", "functional": "GGA-PBE", "state": "optimized geometry", "delta_e_f_mev_per_atom": -1297, "cell": [[-2.963, 2.963, 5.925], [2.963, -2.963, 5.925], [2.963, 2.963, -5.925]], "species": ["Sr", "Tb", "Tb", "Pa", "As", "As", "As", "As"], "fractional_positions": [[0.000, 0.000, 0.000], [0.500, 0.500, 0.000], [0.750, 0.250, 0.500], [0.250, 0.750, 0.500], [0.010, 0.510, 0.500], [0.257, 0.257, 0.000], [0.490, 0.990, 0.500], [0.743, 0.743, 0.000]]}

---

[4]
{"formula": "Ce2Ge3AsPd4", "functional": "GGA-PBE", "state": "optimized geometry", "delta_e_f_mev_per_atom": -786, "cell": [[4.414, 0.000, 0.000], [0.000, 4.414, 0.000], [0.000, 0.000, 9.917]], "species": ["Ce", "Ce", "Ge", "Ge", "Ge", "As", "Pd", "Pd", "Pd", "Pd"], "fractional_positions": [[0.000, 0.500, 0.247], [0.500, 0.000, 0.753], [0.000, 0.000, 0.000], [0.000, 0.500, 0.629], [0.500, 0.000, 0.371], [0.500, 0.500, 0.000], [0.000, 0.000, 0.500], [0.000, 0.500, 0.876], [0.500, 0.000, 0.124], [0.500, 0.500, 0.500]]}

---

[5]
{"formula": "HgSb2I8", "functional": "GGA-PBE", "state": "optimized geometry", "e_form_raw_ev_per_atom": -0.26, "relative_energy_ev_per_atom": 0.000, "cell": [[8.080, -4.254, 0.000], [8.080, 4.254, 0.000], [-3.151, 0.000, 10.640]], "species": ["Hg", "Sb", "Sb", "I", "I", "I", "I", "I", "I", "I", "I"], "fractional_positions": [[0.000, 0.000, 0.000], [0.197, 0.197, 0.335], [0.803, 0.803, 0.665], [0.037, 0.037, 0.783], [0.047, 0.555, 0.828], [0.371, 0.371, 0.473], [0.445, 0.953, 0.172], [0.555, 0.047, 0.828], [0.629, 0.629, 0.527], [0.953, 0.445, 0.172], [0.963, 0.963, 0.217]]}

---

[6]
{"formula": "Ca2Al5Ga3", "functional": "GGA-PBE", "state": "optimized geometry", "delta_e_f_mev_per_atom": -290, "relative_energy_ev_per_atom": 0.000, "cell": [[-5.493, 6.156, 3.058], [5.493, -6.156, 3.058], [5.493, 6.156, -3.058]], "species": ["Ca", "Ca", "Ca", "Ca", "Al", "Al", "Al", "Al", "Al", "Al", "Al", "Al", "Al", "Al", "Ga", "Ga", "Ga", "Ga", "Ga", "Ga"], "fractional_positions": [[0.126, 0.244, 0.369], [0.374, 0.744, 0.118], [0.626, 0.256, 0.882], [0.874, 0.756, 0.631], [0.011, 0.750, 0.261], [0.129, 0.869, 0.998], [0.250, 0.750, 0.500], [0.371, 0.369, 0.740], [0.489, 0.750, 0.739], [0.511, 0.250, 0.261], [0.629, 0.631, 0.260], [0.750, 0.250, 0.500], [0.871, 0.131, 0.002], [0.989, 0.250, 0.739], [0.119, 0.641, 0.760], [0.250, 0.250, 0.000], [0.381, 0.141, 0.522], [0.619, 0.859, 0.478], [0.750, 0.750, 0.000], [0.881, 0.359, 0.240]]}

---

[7]
{"formula": "BaY3Ge", "functional": "GGA-PBE", "state": "optimized geometry", "delta_e_f_mev_per_atom": 1210, "relative_energy_ev_per_atom": 1.315, "cell": [[5.640, 0.000, 0.000], [0.000, 5.640, 0.000], [0.000, 0.000, 5.640]], "species": ["Ba", "Y", "Y", "Y", "Ge"], "fractional_positions": [[0.000, 0.000, 0.000], [0.000, 0.000, 0.500], [0.000, 0.500, 0.000], [0.500, 0.000, 0.000], [0.500, 0.500, 0.500]]}

---

[8]
{"formula": "RbMgTl5", "functional": "GGA-PBE", "state": "optimized geometry", "delta_e_f_mev_per_atom": 35, "relative_energy_ev_per_atom": 0.071, "cell": [[5.200, 0.000, 0.000], [0.000, 5.200, 0.000], [0.000, 0.000, 8.579]], "species": ["Rb", "Mg", "Tl", "Tl", "Tl", "Tl", "Tl"], "fractional_positions": [[0.000, 0.000, 0.000], [0.000, 0.000, 0.500], [0.000, 0.500, 0.305], [0.000, 0.500, 0.695], [0.500, 0.000, 0.305], [0.500, 0.000, 0.695], [0.500, 0.500, 0.000]]}

---

[9]
{"formula": "Th2Cu3Ni12Au", "functional": "GGA-PBE", "state": "optimized geometry", "delta_e_f_mev_per_atom": 147, "cell": [[3.076, 1.776, 8.382], [-3.076, 1.776, 8.382], [0.000, -3.551, 8.382]], "species": ["Th", "Th", "Cu", "Cu", "Cu", "Ni", "Ni", "Ni", "Ni", "Ni", "Ni", "Ni", "Ni", "Ni", "Ni", "Ni", "Ni", "Au"], "fractional_positions": [[0.137, 0.137, 0.137], [0.863, 0.863, 0.863], [0.000, 0.500, 0.500], [0.500, 0.000, 0.500], [0.500, 0.500, 0.000], [0.042, 0.632, 0.632], [0.082, 0.082, 0.702], [0.082, 0.702, 0.082], [0.298, 0.918, 0.918], [0.368, 0.368, 0.958], [0.368, 0.958, 0.368], [0.632, 0.042, 0.632], [0.632, 0.632, 0.042], [0.702, 0.082, 0.082], [0.918, 0.298, 0.918], [0.918, 0.918, 0.298], [0.958, 0.368, 0.368], [0.500, 0.500, 0.500]]}

---

[10]
{"formula": "K2ZnCo", "functional": "GGA-PBE", "state": "optimized geometry", "delta_e_f_mev_per_atom": 446, "cell": [[3.438, 0.000, 0.000], [0.000, 3.535, 0.000], [0.000, 0.000, 9.976]], "species": ["K", "K", "Zn", "Co"], "fractional_positions": [[0.000, 0.000, 0.000], [0.500, 0.500, 0.419], [0.000, 0.000, 0.689], [0.500, 0.500, 0.728]]}

---

The calculation returns the following uncorrected energy values, one per record and in order: -122.45; -65.02; -49.41; -59.00; -23.76; -69.39; -19.88; -14.15; -97.13; -8.79 eV for the cell shown.